Density functional theory data (PBE-GGA) for an optimized crystal structure of GaFe7N2.

Values from the calculation:
DOS(E_F) = 1.181 states/eV/atom
total magnetization = 15.08 μB per cell

```
GaFe7N2
1.0
0.0000 3.7915 3.7915
3.7915 0.0000 3.7915
3.7915 3.7915 0.0000
Ga Fe N
1 7 2
Direct
0.0000 0.0000 0.0000
0.0000 0.0000 0.5000
0.0000 0.5000 0.0000
0.0000 0.5000 0.5000
0.5000 0.0000 0.0000
0.5000 0.0000 0.5000
0.5000 0.5000 0.0000
0.5000 0.5000 0.5000
0.2500 0.2500 0.2500
0.7500 0.7500 0.7500
```

---

Density functional theory data (PBE-GGA) for an optimized crystal structure of Ga2Fe2N.

Values from the calculation:
DOS(E_F) = 0.813 states/eV/atom
distance to the lowest polymorph of the same formula = 4.40 eV/f.u.
total magnetization = 10.24 μB per cell

```
Ga2Fe2N
1.0
3.4103 0.0000 0.0000
0.0000 3.4103 0.0000
0.0000 0.0000 12.5142
Ga Fe N
4 4 2
Direct
0.0000 0.5000 0.2500
0.0000 0.5000 0.7500
0.5000 0.0000 0.2500
0.5000 0.0000 0.7500
0.0000 0.0000 0.0910
0.0000 0.0000 0.9090
0.5000 0.5000 0.4090
0.5000 0.5000 0.5910
0.0000 0.0000 0.5000
0.5000 0.5000 0.0000
```

---

Density functional theory data (PBE-GGA) for an optimized crystal structure of Ga2Fe2N.

Values from the calculation:
DOS(E_F) = 0.884 states/eV/atom
distance to the lowest polymorph of the same formula = 0.00 eV/f.u.
total magnetization = 0.01 μB per cell

```
Ga2Fe2N
1.0
5.1032 0.0000 0.0000
0.0000 5.1032 0.0000
0.0000 0.0000 4.5795
Ga Fe N
4 4 2
Direct
0.1755 0.3245 0.0000
0.3245 0.8245 0.0000
0.6755 0.1755 0.0000
0.8245 0.6755 0.0000
0.1831 0.6831 0.5000
0.3169 0.1831 0.5000
0.6831 0.8169 0.5000
0.8169 0.3169 0.5000
0.0000 0.0000 0.5000
0.5000 0.5000 0.5000
```

---

Density functional theory data (PBE-GGA) for an optimized crystal structure of GaFeNi2N.

Values from the calculation:
DOS(E_F) = 0.350 states/eV/atom
total magnetization = 2.02 μB per cell

```
GaFeNi2N
1.0
3.7877 0.0000 0.0000
0.0000 3.7877 0.0000
0.0000 0.0000 3.7842
Ga Fe Ni N
1 1 2 1
Direct
0.0000 0.0000 0.0000
0.5000 0.5000 0.0000
0.0000 0.5000 0.5000
0.5000 0.0000 0.5000
0.5000 0.5000 0.5000
```

---

no.,uncorrected formation energy (eV per atom)
1,-0.0938
2,1.0229
3,0.1425
4,-0.1657